# 1
La3Er4Tm: optimized geometry, GGA-PBE.

Cell: 11.4772 7.3333 6.3392 Å, 90.00 90.00 90.00°
Closest atoms and distances in Å follow each position.
Fractional positions:
La (0.0000, 0.1252, 0.0000)  8 Er 3.56-3.69, 2 La 3.60, 2 Tm 3.62-3.71
La (0.2470, 0.6230, 0.6658)  2 Tm 3.54-3.61, 7 Er 3.54-3.70, 3 La 3.60-3.65
La (0.2530, 0.3770, 0.1658)  2 Tm 3.54-3.61, 7 Er 3.54-3.70, 3 La 3.60-3.65
La (0.5000, 0.8748, 0.5000)  8 Er 3.56-3.69, 2 La 3.60, 2 Tm 3.62-3.71
La (0.7470, 0.3770, 0.1658)  2 Tm 3.54-3.61, 7 Er 3.54-3.70, 3 La 3.60-3.65
La (0.7530, 0.6230, 0.6658)  2 Tm 3.54-3.61, 7 Er 3.54-3.70, 3 La 3.60-3.65
Er (0.0000, 0.3736, 0.4975)  6 La 3.54-3.67, 4 Er 3.56-3.67, 2 Tm 3.68-3.70
Er (0.0000, 0.8739, 0.4952)  4 La 3.55-3.69, 6 Er 3.55-3.67, 2 Tm 3.61-3.66
Er (0.2492, 0.1227, 0.6622)  1 Tm 3.55, 5 Er 3.55-3.65, 6 La 3.56-3.70
Er (0.2508, 0.8773, 0.1622)  1 Tm 3.55, 5 Er 3.55-3.65, 6 La 3.56-3.70
Er (0.5000, 0.1261, 0.9952)  4 La 3.55-3.69, 6 Er 3.55-3.67, 2 Tm 3.61-3.66
Er (0.5000, 0.6264, 0.9975)  6 La 3.54-3.67, 4 Er 3.56-3.67, 2 Tm 3.68-3.70
Er (0.7492, 0.8773, 0.1622)  1 Tm 3.55, 5 Er 3.55-3.65, 6 La 3.56-3.70
Er (0.7508, 0.1227, 0.6622)  1 Tm 3.55, 5 Er 3.55-3.65, 6 La 3.56-3.70
Tm (0.0000, 0.6310, 0.9995)  6 La 3.54-3.71, 6 Er 3.55-3.70
Tm (0.5000, 0.3690, 0.4995)  6 La 3.54-3.71, 6 Er 3.55-3.70

The volume comes out at 534 Å³ per cell. Its space-group type is Pmn2_1 (31). The value obtained for the formation enthalpy at 0 K is 33 meV/atom.



# 2
PmPr4NdDy2: optimized geometry, GGA-PBE.

Cell: 6.3349 3.6728 12.0906 Å, 90.00 100.19 90.00°
Closest atoms and distances in Å follow each position.
Fractional positions:
Pm (0.0000, 0.0000, 0.0000)  6 Pr 3.64-3.66, 4 Dy 3.66, 2 Pm 3.67
Pr (0.2508, 0.5000, 0.2508)  3 Dy 3.64-3.66, 1 Nd 3.65, 6 Pr 3.65-3.67, 2 Pm 3.66
Pr (0.2520, 0.0000, 0.7518)  3 Dy 3.63-3.66, 1 Pm 3.64, 6 Pr 3.65-3.67, 2 Nd 3.67
Pr (0.7480, 0.0000, 0.2482)  3 Dy 3.63-3.66, 1 Pm 3.64, 6 Pr 3.65-3.67, 2 Nd 3.67
Pr (0.7492, 0.5000, 0.7492)  3 Dy 3.64-3.66, 1 Nd 3.65, 6 Pr 3.65-3.67, 2 Pm 3.66
Nd (0.0000, 0.5000, 0.5000)  6 Pr 3.65-3.67, 4 Dy 3.66, 2 Nd 3.67
Dy (0.5000, 0.0000, 0.5000)  6 Pr 3.64-3.66, 4 Nd 3.66, 2 Dy 3.67
Dy (0.5000, 0.5000, 0.0000)  6 Pr 3.63-3.66, 4 Pm 3.66, 2 Dy 3.67

The volume comes out at 277 Å³ per cell. Its space-group type is P2/m (10). The value obtained for the formation enthalpy at 0 K is 15 meV/atom.



Number 2 is which compound?
PmPr4NdDy2